The following is a DFT calculation (PBE) of a relaxed Sr2HoMg crystal.

Unit cell a=3.7462 b=3.7462 c=13.1186 alpha=81.79 beta=81.79 gamma=60.00
With the nearest neighbours (Å) after each atom.
Atoms (fractional coordinates):
Sr: 0.0914 0.0914 0.7259  1 Ho 3.55, 3 Mg 3.64, 6 Sr 3.75
Sr: 0.9086 0.9086 0.2741  1 Ho 3.55, 3 Mg 3.64, 6 Sr 3.75
Mg: 0.5000 0.5000 0.5000  6 Sr 3.64, 6 Mg 3.75
Ho: 0.0000 0.0000 0.0000  2 Sr 3.55, 6 Ho 3.75

Output
- Space-group type: R-3m (166)
- Energy of formation from the pure elements: 0.34 eV per atom
- V: 39.315 Å³/atom
- Energy above the most stable polymorph in this dataset: 187 meV/atom

=====

The following is a DFT calculation (PBE) of a relaxed SrHo2Mg crystal.

Unit cell a=3.5734 b=3.5734 c=12.5172 alpha=81.79 beta=81.79 gamma=60.00
With the nearest neighbours (Å) after each atom.
Atoms (fractional coordinates):
Ho: 0.9036 0.9036 0.2891  3 Mg 3.32, 1 Sr 3.57, 6 Ho 3.57
Mg: 0.5000 0.5000 0.5000  6 Ho 3.32, 6 Mg 3.57
Sr: 0.0000 0.0000 0.0000  2 Ho 3.57, 6 Sr 3.57
Ho: 0.0964 0.0964 0.7109  3 Mg 3.32, 1 Sr 3.57, 6 Ho 3.57

Output
- Space-group type: R-3m (166)
- Energy of formation from the pure elements: 0.28 eV per atom
- V: 34.132 Å³/atom
- Energy above the most stable polymorph in this dataset: 198 meV/atom

=====

The following is a DFT calculation (PBE) of a relaxed SrHoMg2 crystal.

Unit cell a=5.6187 b=5.6187 c=5.6187 alpha=60.00 beta=60.00 gamma=60.00
With the nearest neighbours (Å) after each atom.
Atoms (fractional coordinates):
Mg: 0.2500 0.2500 0.2500  4 Ho 3.44, 4 Sr 3.44
Mg: 0.7500 0.7500 0.7500  4 Ho 3.44, 4 Sr 3.44
Ho: 0.5000 0.5000 0.5000  8 Mg 3.44
Sr: 0.0000 0.0000 0.0000  8 Mg 3.44

Output
- Space-group type: Fm-3m (225)
- Energy of formation from the pure elements: 0.01 eV per atom
- V: 31.357 Å³/atom
- Energy above the most stable polymorph in this dataset: 46 meV/atom

=====

The following is a DFT calculation (PBE) of a relaxed Sr2HoMg crystal.

Unit cell a=4.3541 b=4.3541 c=8.0896 alpha=90.00 beta=90.00 gamma=90.00
With the nearest neighbours (Å) after each atom.
Atoms (fractional coordinates):
Mg: 0.5000 0.5000 0.0000  8 Sr 3.64, 2 Ho 4.04
Sr: 0.0000 0.0000 0.2402  4 Mg 3.64, 4 Ho 3.73, 1 Sr 3.89
Sr: 0.0000 0.0000 0.7598  4 Mg 3.64, 4 Ho 3.73, 1 Sr 3.89
Ho: 0.5000 0.5000 0.5000  8 Sr 3.73, 2 Mg 4.04

Output
- Space-group type: P4/mmm (123)
- Energy of formation from the pure elements: 0.16 eV per atom
- V: 38.340 Å³/atom
- Energy above the most stable polymorph in this dataset: 0 meV/atom

=====

The following is a DFT calculation (PBE) of a relaxed SrHoMg2 crystal.

Unit cell a=3.9682 b=3.9682 c=7.9973 alpha=90.00 beta=90.00 gamma=90.00
With the nearest neighbours (Å) after each atom.
Atoms (fractional coordinates):
Mg: 0.0000 0.0000 0.7856  4 Ho 3.29, 1 Mg 3.43, 4 Sr 3.62
Mg: 0.0000 0.0000 0.2144  4 Ho 3.29, 1 Mg 3.43, 4 Sr 3.62
Ho: 0.5000 0.5000 0.0000  8 Mg 3.29
Sr: 0.5000 0.5000 0.5000  8 Mg 3.62, 4 Sr 3.97, 2 Ho 4.00

Output
- Space-group type: P4/mmm (123)
- Energy of formation from the pure elements: -0.04 eV per atom
- V: 31.483 Å³/atom
- Energy above the most stable polymorph in this dataset: 0 meV/atom

=====

The following is a DFT calculation (PBE) of a relaxed SrHo2Mg crystal.

Unit cell a=3.8001 b=3.8001 c=9.3250 alpha=90.00 beta=90.00 gamma=90.00
With the nearest neighbours (Å) after each atom.
Atoms (fractional coordinates):
Mg: 0.5000 0.5000 0.0000  8 Ho 3.22
Sr: 0.5000 0.5000 0.5000  4 Sr 3.80, 8 Ho 3.94
Ho: 0.0000 0.0000 0.8088  4 Mg 3.22, 1 Ho 3.57
Ho: 0.0000 0.0000 0.1912  4 Mg 3.22, 1 Ho 3.57

Output
- Space-group type: P4/mmm (123)
- Energy of formation from the pure elements: 0.08 eV per atom
- V: 33.664 Å³/atom
- Energy above the most stable polymorph in this dataset: 0 meV/atom

=====

The following is a DFT calculation (PBE) of a relaxed SrHo2Mg9 crystal.

Unit cell a=6.1280 b=6.1280 c=10.5019 alpha=73.04 beta=73.04 gamma=60.00
With the nearest neighbours (Å) after each atom.
Atoms (fractional coordinates):
Ho: 0.1481 0.1481 0.5558  12 Mg 3.42-3.58, 3 Ho 3.71
Mg: 0.4113 0.4113 0.2580  7 Mg 2.99-3.11
Mg: 0.9194 0.4113 0.2580  7 Mg 2.99-3.11
Mg: 0.3344 0.3344 0.9969  6 Mg 3.10-3.11
Mg: 0.6656 0.6656 0.0031  6 Mg 3.10-3.11
Ho: 0.8519 0.8519 0.4442  12 Mg 3.42-3.58, 3 Ho 3.71
Mg: 0.4113 0.9194 0.2580  7 Mg 2.99-3.11
Mg: 0.5887 0.5887 0.7420  7 Mg 2.99-3.11
Sr: 0.0000 0.0000 0.0000  6 Mg 3.54
Mg: 0.5000 0.5000 0.5000  6 Mg 2.99
Mg: 0.5887 0.0806 0.7420  7 Mg 2.99-3.11
Mg: 0.0806 0.5887 0.7420  7 Mg 2.99-3.11

Output
- Space-group type: R-3m (166)
- Energy of formation from the pure elements: -0.05 eV per atom
- V: 26.797 Å³/atom

=====

The following is a DFT calculation (PBE) of a relaxed Sr3Ho3MgTe8 crystal.

Unit cell a=8.8759 b=8.8748 c=9.1677 alpha=118.95 beta=90.01 gamma=120.00
With the nearest neighbours (Å) after each atom.
Atoms (fractional coordinates):
Te: 0.7431 0.4862 0.7294  3 Ho 3.10, 3 Sr 3.29
Sr: 0.0000 0.5000 0.0000  6 Te 3.29-3.31
Te: 0.7598 0.0167 0.2765  1 Mg 3.06, 2 Ho 3.08, 2 Sr 3.31
Te: 0.2402 0.9833 0.7235  1 Mg 3.06, 2 Ho 3.08, 2 Sr 3.31
Te: 0.7431 0.9833 0.7235  1 Mg 3.06, 2 Ho 3.08, 2 Sr 3.31
Ho: 0.0000 0.5000 0.5000  6 Te 3.08-3.10
Sr: 0.0000 0.0000 0.0000  6 Te 3.29-3.31
Ho: 0.5000 0.0000 0.5000  6 Te 3.08-3.10
Te: 0.2569 0.5138 0.2706  3 Ho 3.10, 3 Sr 3.29
Te: 0.2569 0.0167 0.2765  1 Mg 3.06, 2 Ho 3.08, 2 Sr 3.31
Te: 0.7599 0.5198 0.2766  1 Mg 3.06, 2 Ho 3.08, 2 Sr 3.31
Ho: 0.5000 0.5000 0.5000  6 Te 3.08-3.10
Mg: 0.0000 0.0000 0.5000  6 Te 3.06
Sr: 0.5000 0.5000 0.0000  6 Te 3.29-3.31
Te: 0.2401 0.4802 0.7234  1 Mg 3.06, 2 Ho 3.08, 2 Sr 3.31

Output
- Space-group type: R-3m (166)
- V: 34.573 Å³/atom
- Raw formation energy: -1.4147 eV/atom

=====

The following is a DFT calculation (PBE) of a relaxed SrHoMgTl crystal.

Unit cell a=5.5585 b=5.5585 c=5.5585 alpha=60.00 beta=60.00 gamma=60.00
With the nearest neighbours (Å) after each atom.
Atoms (fractional coordinates):
Mg: 0.5000 0.5000 0.5000  4 Ho 3.40, 4 Sr 3.40
Tl: 0.0000 0.0000 0.0000  4 Ho 3.40, 4 Sr 3.40
Ho: 0.2500 0.2500 0.2500  4 Tl 3.40, 4 Mg 3.40
Sr: 0.7500 0.7500 0.7500  4 Tl 3.40, 4 Mg 3.40

Output
- Space-group type: F-43m (216)
- Energy of formation from the pure elements: -0.18 eV per atom
- V: 30.360 Å³/atom

=====

The following is a DFT calculation (PBE) of a relaxed Sr2HoMg2Tl5 crystal.

Unit cell a=4.2911 b=11.6720 c=11.6720 alpha=90.00 beta=90.00 gamma=90.00
With the nearest neighbours (Å) after each atom.
Atoms (fractional coordinates):
Mg: 0.0000 0.6242 0.8758  6 Tl 2.97-3.03
Tl: 0.5000 0.5689 0.7012  2 Mg 3.03, 2 Ho 3.28
Ho: 0.0000 0.0000 0.0000  8 Tl 3.28
Tl: 0.5000 0.7988 0.9311  2 Mg 3.03, 2 Ho 3.28
Sr: 0.0000 0.8269 0.6731  3 Mg 3.34-3.52, 6 Tl 3.57-3.71
Ho: 0.0000 0.5000 0.5000  8 Tl 3.28
Tl: 0.5000 0.5000 0.0000  4 Mg 2.97
Tl: 0.5000 0.9311 0.2012  2 Mg 3.03, 2 Ho 3.28
Sr: 0.0000 0.6731 0.1731  3 Mg 3.34-3.52, 6 Tl 3.57-3.71
Tl: 0.5000 0.0000 0.5000  4 Mg 2.97
Sr: 0.0000 0.3269 0.8269  3 Mg 3.34-3.52, 6 Tl 3.57-3.71
Mg: 0.0000 0.1242 0.6242  6 Tl 2.97-3.03
Tl: 0.5000 0.4311 0.2988  2 Mg 3.03, 2 Ho 3.28
Tl: 0.5000 0.7012 0.4311  2 Mg 3.03, 2 Ho 3.28
Mg: 0.0000 0.8758 0.3758  6 Tl 2.97-3.03
Tl: 0.5000 0.0689 0.7988  2 Mg 3.03, 2 Ho 3.28
Tl: 0.5000 0.2012 0.0689  2 Mg 3.03, 2 Ho 3.28
Mg: 0.0000 0.3758 0.1242  6 Tl 2.97-3.03
Tl: 0.5000 0.2988 0.5689  2 Mg 3.03, 2 Ho 3.28
Sr: 0.0000 0.1731 0.3269  3 Mg 3.34-3.52, 6 Tl 3.57-3.71

Output
- Space-group type: P4/mbm (127)
- Energy of formation from the pure elements: -0.24 eV per atom
- V: 29.230 Å³/atom

=====

Calculated values (eV/atom) of E for the records, taken in order: -2.04; -2.83; -2.35; -2.23; -2.40; -3.02; -2.15; -4.45; -2.74; -2.54.